1.
Entry from Alexandria: a relaxed structure of YIn2Rh (PBE-GGA).

Unit cell a=5.1285 b=5.1285 c=5.1285 alpha=125.99 beta=125.92 gamma=79.96
Closest atoms and distances in Å follow each position.
Element x y z (fractional)
Y1 0.2501 0.7501 0.5000  4 Rh 3.05, 8 In 3.05-3.30
In1 0.7498 0.2498 0.5000  4 Rh 3.05, 4 In 3.05, 4 Y 3.30
In2 0.9999 0.9999 0.0000  4 In 3.05, 4 Y 3.05, 4 Rh 3.30
Rh1 0.5002 0.5002 0.0000  8 In 3.05-3.30, 4 Y 3.05

Summary:
SG ... No. 119
Total energy ... -5.208 eV/atom
Crystal system ... tetragonal

***

2.
Entry from Alexandria: a relaxed structure of TmIn4Ni4 (PBE-GGA).

Unit cell a=5.1788 b=8.3252 c=8.3252 alpha=90.00 beta=90.00 gamma=90.00
Closest atoms and distances in Å follow each position.
Element x y z (fractional)
Ni1 0.3898 0.3580 0.2096  1 Ni 2.40, 4 In 2.60-2.64
Ni2 0.1102 0.8580 0.7096  1 Ni 2.40, 4 In 2.60-2.64
Ni3 0.6102 0.2096 0.6420  1 Ni 2.40, 4 In 2.60-2.64
Ni4 0.8898 0.7096 0.1420  1 Ni 2.40, 4 In 2.60-2.64
Ni5 0.1102 0.1420 0.2904  1 Ni 2.40, 4 In 2.60-2.64
Ni6 0.8898 0.2904 0.8580  1 Ni 2.40, 4 In 2.60-2.64
Ni7 0.3898 0.6420 0.7904  1 Ni 2.40, 4 In 2.60-2.64
Ni8 0.6102 0.7904 0.3580  1 Ni 2.40, 4 In 2.60-2.64
In1 0.8910 0.3947 0.1662  5 Ni 2.60-2.71
In2 0.8910 0.6053 0.8338  5 Ni 2.60-2.71
In3 0.6090 0.8947 0.6662  5 Ni 2.60-2.71
In4 0.6090 0.1053 0.3338  5 Ni 2.60-2.71
In5 0.3910 0.3338 0.8947  5 Ni 2.60-2.71
In6 0.1090 0.1662 0.6053  5 Ni 2.60-2.71
In7 0.1090 0.8338 0.3947  5 Ni 2.60-2.71
In8 0.3910 0.6662 0.1053  5 Ni 2.60-2.71
Tm1 0.5000 0.5000 0.5000  4 Ni 2.75
Tm2 0.0000 0.0000 0.0000  4 Ni 2.75

Summary:
SG ... No. 86
Total energy ... -4.308 eV/atom
Crystal system ... tetragonal

***

3.
Entry from Alexandria: a relaxed structure of Tl2FeIr (PBE-GGA).

Unit cell a=3.1068 b=3.1068 c=8.6675 alpha=90.00 beta=90.00 gamma=90.00
Closest atoms and distances in Å follow each position.
Element x y z (fractional)
Ir1 0.5000 0.5000 0.6956  4 Fe 2.53
Fe1 0.0000 0.0000 0.5504  4 Ir 2.53
Tl1 0.0000 0.0000 0.9492  4 Tl 3.11, 4 Ir 3.11, 1 Fe 3.46
Tl2 0.5000 0.5000 0.3048  4 Fe 3.06, 4 Tl 3.11, 1 Ir 3.39

Summary:
SG ... No. 99
ΔE to the lowest computed polymorph ... 0.000 eV/atom
Crystal system ... tetragonal

***

What did the third record say?
Entry from Alexandria: a relaxed structure of Tl2FeIr (PBE-GGA).

Unit cell a=3.1068 b=3.1068 c=8.6675 alpha=90.00 beta=90.00 gamma=90.00
Closest atoms and distances in Å follow each position.
Element x y z (fractional)
Ir1 0.5000 0.5000 0.6956  4 Fe 2.53
Fe1 0.0000 0.0000 0.5504  4 Ir 2.53
Tl1 0.0000 0.0000 0.9492  4 Tl 3.11, 4 Ir 3.11, 1 Fe 3.46
Tl2 0.5000 0.5000 0.3048  4 Fe 3.06, 4 Tl 3.11, 1 Ir 3.39

Summary:
SG ... No. 99
ΔE to the lowest computed polymorph ... 0.000 eV/atom
Crystal system ... tetragonal